## Ho4Mg5Ag (GGA-PBE)

Data for crystalline Ho4Mg5Ag at its relaxed geometry.

Results
As for the formation enthalpy at 0 K: -88 meV per atom. Its total DFT energy (no corrections) is -0.221 Ry/atom. The calculation puts the density at 5.85 Mg/m³.

a = 3.670 Å, b = 3.670 Å, c = 18.756 Å
α = 90.00°, β = 90.00°, γ = 90.00°
Space group P4/mmm (No. 123)
Asymmetric unit:
Ho: 0.000 0.000 0.105
Ho: 0.000 0.000 0.308
Mg: 0.500 0.500 0.000
Mg: 0.500 0.500 0.207
Mg: 0.500 0.500 0.419
Ag: 0.000 0.000 0.500